1.
{"formula": "NaAlSi3O8", "functional": "PBE", "state": "optimized geometry", "e_tot_ev_per_atom": -7.47, "mass_density_g_cm3": 2.519, "e_form_raw_ev_per_fu": -36.14, "cell": [[7.1578, 0.0000, 0.0000], [-2.2347, 7.4146, 0.0000], [-1.4446, -3.9464, 6.5145]], "species": ["Na", "Na", "Al", "Al", "Si", "Si", "Si", "Si", "Si", "Si", "O", "O", "O", "O", "O", "O", "O", "O", "O", "O", "O", "O", "O", "O", "O", "O"], "frac_coords": [[0.1112, 0.2931, 0.2489], [0.8888, 0.7069, 0.7511], [0.3540, 0.5650, 0.8067], [0.6460, 0.4350, 0.1933], [0.2127, 0.1704, 0.8389], [0.2306, 0.8288, 0.1949], [0.3178, 0.7976, 0.5789], [0.6822, 0.2024, 0.4211], [0.7694, 0.1712, 0.8051], [0.7873, 0.8296, 0.1611], [0.0254, 0.8815, 0.1509], [0.2004, 0.9291, 0.7112], [0.2172, 0.7197, 0.3356], [0.2349, 0.6788, 0.9762], [0.2696, 0.2963, 0.7233], [0.2739, 0.5852, 0.5881], [0.3700, 0.2965, 0.0767], [0.4322, 0.0571, 0.3295], [0.5678, 0.9429, 0.6705], [0.6300, 0.7035, 0.9233], [0.7261, 0.4148, 0.4119], [0.7304, 0.7037, 0.2767], [0.7651, 0.3212, 0.0238], [0.7828, 0.2803, 0.6644], [0.7996, 0.0709, 0.2888], [0.9746, 0.1185, 0.8491]]}

---

2.
{"formula": "DyThCdHg", "functional": "PBE", "state": "optimized geometry", "e_tot_ev_per_atom": -3.54, "delta_e_f_ev_per_fu": -0.92, "mass_density_g_cm3": 10.747, "cell": [[0.0000, 3.7951, 3.7951], [3.7951, 0.0000, 3.7951], [3.7951, 3.7951, 0.0000]], "species": ["Dy", "Th", "Cd", "Hg"], "frac_coords": [[0.0000, 0.0000, 0.0000], [0.5000, 0.5000, 0.5000], [0.7500, 0.7500, 0.7500], [0.2500, 0.2500, 0.2500]]}